VASP calculation (PBE) on a geometry-optimized LuUIn2 structure.

Properties
The magnetic moment comes out at 3.504 μB/cell. The calculation puts the formation energy at 0.015 eV per atom.

Geometry as CIF:
```
data_LuUIn2
_chemical_formula_sum 'Lu1 U1 In2'
_space_group_name_H-M_alt 'P 4/m m m'
_space_group_IT_number 123
_space_group_name_Hall '-P 4 2'
_cell_length_a 4.813
_cell_length_b 4.813
_cell_length_c 4.452
_cell_angle_alpha 90.00
_cell_angle_beta 90.00
_cell_angle_gamma 90.00
loop_
_atom_site_label
_atom_site_type_symbol
_atom_site_fract_x
_atom_site_fract_y
_atom_site_fract_z
Lu1 Lu 0.000 0.000 0.000
U1 U 0.500 0.500 0.000
In1 In 0.000 0.500 0.500
```